#P
Here is an optimized crystal structure of KPdW2 from the Alexandria database. Energies are from PBE.

Unit cell a=3.9041 b=3.9041 c=21.4041 alpha=90.00 beta=90.00 gamma=90.00
With the nearest neighbours (Å) after each atom.
Space group I-42d (No. 122)
Asymmetric unit:
K 0.0000 0.0000 0.0000  4 Pd 2.76, 4 W 3.08
Pd 0.0000 0.0000 0.5000  4 K 2.76, 4 W 2.95
W 0.1998 0.2500 0.6250  2 W 2.50

## Properties
- total magnetization (μB/atom) = 0.000



#Q
Here is an optimized crystal structure of KPdW2 from the Alexandria database. Energies are from PBE.

Unit cell a=6.5329 b=6.5329 c=6.5329 alpha=90.00 beta=90.00 gamma=90.00
With the nearest neighbours (Å) after each atom.
Space group Fm-3m (No. 225)
Asymmetric unit:
K 0.0000 0.0000 0.0000  8 W 2.83
Pd 0.0000 0.0000 0.5000  8 W 2.83
W 0.2500 0.2500 0.2500  4 Pd 2.83, 4 K 2.83

## Properties
- total magnetization (μB/atom) = 0.000



Taking the most stable structure as the zero point, the relative energies in meV/atom are #P 0; #Q 392.



#P
Here is an optimized crystal structure of KPd3W from the Alexandria database. Energies are from PBE.

Unit cell a=4.9502 b=4.9502 c=4.9502 alpha=90.00 beta=90.00 gamma=90.00
With the nearest neighbours (Å) after each atom.
Space group Pm-3m (No. 221)
Asymmetric unit:
K 0.0000 0.0000 0.0000  12 Pd 3.50
Pd 0.0000 0.5000 0.5000  2 W 2.48
W 0.5000 0.5000 0.5000  6 Pd 2.48

## Properties
- total magnetization (μB/atom) = 0.000



#Q
Here is an optimized crystal structure of KPd3W from the Alexandria database. Energies are from PBE.

Unit cell a=4.7430 b=4.7430 c=4.7430 alpha=90.00 beta=90.00 gamma=90.00
With the nearest neighbours (Å) after each atom.
Space group Pm-3m (No. 221)
Asymmetric unit:
K 0.0000 0.0000 0.0000  6 Pd 2.37
Pd 0.0000 0.0000 0.5000  2 K 2.37
W 0.5000 0.5000 0.5000  12 Pd 3.35

## Properties
- total magnetization (μB/atom) = 0.000



Taking the most stable structure as the zero point, the relative energies in meV/atom are #P 0; #Q 1569.